First-principles (GGA-PBE) data for a relaxed Tb2SiO4 crystal, as listed in OQMD.

Cell lengths 6.707, 6.707, 6.707 Å; angles 60.00, 60.00, 60.00 degrees
Fractional coordinates of all 14 atoms:
Tb: 0.000 0.000 0.000
Tb: 0.000 0.000 0.500
Tb: 0.000 0.500 0.000
Tb: 0.500 0.000 0.000
Si: 0.375 0.375 0.375
Si: 0.625 0.625 0.625
O: 0.226 0.758 0.758
O: 0.242 0.242 0.242
O: 0.242 0.242 0.774
O: 0.242 0.774 0.242
O: 0.758 0.226 0.758
O: 0.758 0.758 0.226
O: 0.758 0.758 0.758
O: 0.774 0.242 0.242

Output
Energy relative to the lowest polymorph listed for this composition = 0.376 eV per atom
Volume = 106.66 Å³/f.u.
M_tot = 0.000 μB per atom
Calculated total energy = -0.2740 Ha/atom

***

First-principles (GGA-PBE) data for a relaxed Tb3SiO crystal, as listed in OQMD.

Cell lengths 7.236, 9.202, 6.247 Å; angles 90.00, 90.00, 90.00 degrees
Fractional coordinates of all 20 atoms:
Tb: 0.029 0.250 0.108
Tb: 0.193 0.049 0.670
Tb: 0.193 0.451 0.670
Tb: 0.307 0.549 0.170
Tb: 0.307 0.951 0.170
Tb: 0.471 0.750 0.608
Tb: 0.529 0.250 0.392
Tb: 0.693 0.049 0.830
Tb: 0.693 0.451 0.830
Tb: 0.807 0.549 0.330
Tb: 0.807 0.951 0.330
Tb: 0.971 0.750 0.892
Si: 0.103 0.750 0.449
Si: 0.397 0.250 0.949
Si: 0.603 0.750 0.051
Si: 0.897 0.250 0.551
O: 0.000 0.000 0.000
O: 0.000 0.500 0.000
O: 0.500 0.000 0.500
O: 0.500 0.500 0.500

Output
Volume = 103.98 Å³/f.u.
M_tot = 0.001 μB per atom
Calculated total energy = -0.2324 Ha/atom

***

- The highest M_tot belongs to which entry?
  Tb3SiO